[1]
The following is a DFT calculation (PBE-GGA) of a geometry-optimized Ho2CdF structure.

Calculated values
DFT total energy in eV per atom: -3.840
Magnetic moment in μB/f.u.: 0.0
Formation energy from raw total energies in eV per atom: -0.8544
DOS at the Fermi energy in states/eV/cell: 3.2
SG: R-3m

Lattice parameters (Å, degrees): 10.1005 10.1005 10.1005 19.03 19.03 19.03
Fractional positions:
Ho  0.1061  0.1061  0.1061
Ho  0.8939  0.8939  0.8939
Cd  0.0000  0.0000  0.0000
F  0.5000  0.5000  0.5000

[2]
The following is a DFT calculation (PBE-GGA) of a geometry-optimized K2Pu2CrS6 structure.

Calculated values
DFT total energy in eV per atom: -7.229
Magnetic moment in μB/f.u.: 6.0
Formation energy from raw total energies in eV per atom: -1.2978
DOS at the Fermi energy in states/eV/cell: 16.9
SG: C2/m

Lattice parameters (Å, degrees): 6.6488 6.6488 7.8604 98.39 98.39 119.31
Fractional positions:
K  0.1699  0.8301  0.0000
K  0.8301  0.1699  0.0000
Pu  0.3334  0.6666  0.5000
Pu  0.6666  0.3334  0.5000
Cr  0.0000  0.0000  0.5000
S  0.0647  0.3734  0.6882
S  0.2407  0.2407  0.3130
S  0.3734  0.0647  0.6882
S  0.6266  0.9353  0.3118
S  0.7593  0.7593  0.6870
S  0.9353  0.6266  0.3118

[3]
The following is a DFT calculation (PBE-GGA) of a geometry-optimized Rb3La2ScSe6 structure.

Calculated values
DFT total energy in eV per atom: -5.054
Magnetic moment in μB/f.u.: 0.0
Formation energy from raw total energies in eV per atom: -1.7213
DOS at the Fermi energy in states/eV/cell: 0.0
SG: C2/m

Lattice parameters (Å, degrees): 7.5063 7.5063 8.3701 98.63 98.63 120.01
Fractional positions:
Rb  0.0000  0.0000  0.0000
Rb  0.3304  0.6696  0.0000
Rb  0.6696  0.3304  0.0000
La  0.1664  0.8336  0.5000
La  0.8336  0.1664  0.5000
Sc  0.5000  0.5000  0.5000
Se  0.1237  0.4348  0.3044
Se  0.2550  0.2550  0.6962
Se  0.4348  0.1237  0.3044
Se  0.5652  0.8763  0.6956
Se  0.7450  0.7450  0.3038
Se  0.8763  0.5652  0.6956